First-principles (meta-GGA SCAN) data for a crystal of Nd5Rh4 relaxed with PBEsol, as listed in Alexandria via LeMat-Bulk.

The space group is Pnma (No. 62) and the conventional cell measures 7.406, 14.726 and 7.580 Å, with angles of 90.00, 90.00 and 90.00 degrees. The distinct sites, in fractional coordinates, are Nd at (0.011, 0.092, 0.180), Nd at (0.161, 0.122, 0.668), Nd at (0.175, 0.750, 0.513), Rh at (0.042, 0.750, 0.099), Rh at (0.178, 0.539, 0.466) and Rh at (0.199, 0.250, 0.355).

The calculated formation energy comes out at -750 meV per atom.